Material: Ta2TeRu
Method: DFT, PBE
State: relaxed

Space-group type: R-3m
Formation energy without anion corrections in eV per atom: 0.284
Uncorrected energy in eV per atom: -8.747
Crystal system: trigonal
Total magnetic moment in μB per formula unit: 0.00

a = 9.0874 Å, b = 9.0874 Å, c = 9.0874 Å
α = 19.58°, β = 19.58°, γ = 19.58°
Fractional positions:
Ta: 0.0061 0.0061 0.0061
Ta: 0.4939 0.4939 0.4939
Ru: 0.7500 0.7500 0.7500
Te: 0.2500 0.2500 0.2500